Computed, not measured: an optimized crystal structure of Ho2MgZrN4 at the PBE-GGA level of DFT.

The value obtained for the density is 7.940 g/cm3. Its formation energy without anion corrections is -1.483 eV/atom. As for the total magnetic moment: 0.0 μB per cell.

The structure belongs to space group P2/m (No. 10); the cell edges are 5.757, 3.350 and 5.763 Å and the angles 90.00°, 109.33° and 90.00°. Symmetry generates all atoms from Ho at (0.000, 0.000, 0.000), Ho at (0.000, 0.500, 0.500), Mg at (0.500, 0.000, 0.500), Zr at (0.500, 0.500, 0.000), N at (0.260, 0.500, 0.243) and N at (0.262, 0.000, 0.760).